[1]
Computed, not measured: a relaxed structure of RbAcTe at the PBE level of DFT.

POSCAR file:
```
RbAcTe
1.0
-2.1185 2.1185 8.1080
2.1185 -2.1185 8.1080
2.1185 2.1185 -8.1080
Rb Ac Te
1 1 1
direct
0.0000 0.0000 0.0000
0.2613 0.2613 0.0000
0.6668 0.6668 0.0000
```

Computed properties:
ΔE_f (raw): -2.260 eV per formula unit
density of states at the Fermi level: 2.22 states/eV/cell
energy above the most stable polymorph in this dataset: 0.000 eV/atom


[2]
Computed, not measured: a relaxed structure of RbAcTe2 at the PBE level of DFT.

POSCAR file:
```
RbAcTe2
1.0
0.0000 4.1598 4.1598
4.1598 0.0000 4.1598
4.1598 4.1598 0.0000
Rb Ac Te
1 1 2
direct
0.0000 0.0000 0.0000
0.5000 0.5000 0.5000
0.2500 0.2500 0.2500
0.7500 0.7500 0.7500
```

Computed properties:
ΔE_f (raw): -5.008 eV per formula unit
energy above the most stable polymorph in this dataset: 0.242 eV/atom


[3]
Computed, not measured: a relaxed structure of RbAc6Te8 at the PBE level of DFT.

POSCAR file:
```
RbAc6Te8
1.0
12.6732 0.0000 0.0000
-6.3366 10.9753 0.0000
0.0000 0.0000 4.8903
Rb Ac Te
1 6 8
direct
0.0000 0.0000 0.0000
0.1384 0.4818 0.2509
0.3434 0.8616 0.2509
0.4818 0.3434 0.7491
0.5182 0.6566 0.2509
0.6566 0.1384 0.7491
0.8616 0.5182 0.7491
0.0426 0.6912 0.2484
0.3088 0.3514 0.2484
0.3333 0.6667 0.7509
0.3514 0.0426 0.7516
0.6486 0.9574 0.2484
0.6667 0.3333 0.2491
0.6912 0.6486 0.7516
0.9574 0.3088 0.7516
```

Computed properties:
ΔE_f (raw): -21.151 eV per formula unit
density of states at the Fermi level: 10.01 states/eV/cell


[4]
Computed, not measured: a relaxed structure of RbAcTe at the PBE level of DFT.

POSCAR file:
```
RbAcTe
1.0
5.6413 0.0000 0.0000
-2.8206 4.8855 0.0000
0.0000 0.0000 5.6533
Rb Ac Te
1 1 1
direct
0.0000 0.0000 0.0000
0.6667 0.3333 0.5006
0.3333 0.6667 0.5029
```

Computed properties:
ΔE_f (raw): -1.616 eV per formula unit
density of states at the Fermi level: 3.63 states/eV/cell
energy above the most stable polymorph in this dataset: 0.215 eV/atom


[5]
Computed, not measured: a relaxed structure of RbAcTe2 at the PBE level of DFT.

POSCAR file:
```
RbAcTe2
1.0
4.1660 0.0000 0.0000
0.0000 4.1660 0.0000
0.0000 0.0000 8.8793
Rb Ac Te
1 1 2
direct
0.0000 0.0000 0.0000
0.0000 0.0000 0.5000
0.5000 0.5000 0.2850
0.5000 0.5000 0.7150
```

Computed properties:
ΔE_f (raw): -5.376 eV per formula unit
density of states at the Fermi level: 0.58 states/eV/cell
energy above the most stable polymorph in this dataset: 0.150 eV/atom


[6]
Computed, not measured: a relaxed structure of RbAc2Te3 at the PBE level of DFT.

POSCAR file:
```
RbAc2Te3
1.0
4.1240 0.0000 0.0000
0.0000 4.1240 0.0000
0.0000 0.0000 12.9933
Rb Ac Te
1 2 3
direct
0.0000 0.0000 0.0000
0.0000 0.0000 0.3333
0.0000 0.0000 0.6667
0.5000 0.5000 0.1955
0.5000 0.5000 0.5000
0.5000 0.5000 0.8045
```

Computed properties:
ΔE_f (raw): -8.217 eV per formula unit
density of states at the Fermi level: 3.02 states/eV/cell
energy above the most stable polymorph in this dataset: 0.115 eV/atom


[7]
Computed, not measured: a relaxed structure of Rb14Ac2Te9 at the PBE level of DFT.

POSCAR file:
```
Rb14Ac2Te9
1.0
10.5494 0.0000 0.0000
-5.2747 9.1361 0.0000
0.0000 0.0000 14.6543
Rb Ac Te
14 2 9
direct
0.0000 0.0000 0.2492
0.0000 0.0000 0.7508
0.0418 0.6843 0.4097
0.0823 0.3918 0.0945
0.3095 0.9177 0.0945
0.3157 0.3575 0.4097
0.3575 0.0418 0.5903
0.3918 0.3095 0.9055
0.6082 0.6905 0.0945
0.6425 0.9582 0.4097
0.6843 0.6425 0.5903
0.6905 0.0823 0.9055
0.9177 0.6082 0.9055
0.9582 0.3157 0.5903
0.3333 0.6667 0.7670
0.6667 0.3333 0.2330
0.0000 0.0000 0.5000
0.0701 0.3603 0.8389
0.2902 0.9299 0.8389
0.3333 0.6667 0.5473
0.3603 0.2902 0.1611
0.6397 0.7098 0.8389
0.6667 0.3333 0.4527
0.7098 0.0701 0.1611
0.9299 0.6397 0.1611
```

Computed properties:
ΔE_f (raw): -25.545 eV per formula unit
density of states at the Fermi level: 4.69 states/eV/cell


[8]
Computed, not measured: a relaxed structure of RbAcTe2 at the PBE level of DFT.

POSCAR file:
```
RbAcTe2
1.0
2.4231 1.3990 8.7911
-2.4231 1.3990 8.7911
0.0000 -2.7979 8.7911
Rb Ac Te
1 1 2
direct
0.0000 0.0000 0.0000
0.8306 0.8306 0.8306
0.2345 0.2345 0.2345
0.4270 0.4270 0.4270
```

Computed properties:
ΔE_f (raw): -5.890 eV per formula unit
density of states at the Fermi level: 0.00 states/eV/cell
energy above the most stable polymorph in this dataset: 0.022 eV/atom


[9]
Computed, not measured: a relaxed structure of RbAc2Te3 at the PBE level of DFT.

POSCAR file:
```
RbAc2Te3
1.0
4.7942 0.0000 0.0000
-2.3971 4.1519 0.0000
0.0000 0.0000 25.1699
Rb Ac Te
2 4 6
direct
0.0000 0.0000 0.2500
0.0000 0.0000 0.7500
0.3333 0.6667 0.0776
0.3333 0.6667 0.4224
0.6667 0.3333 0.5776
0.6667 0.3333 0.9224
0.0000 0.0000 0.0000
0.0000 0.0000 0.5000
0.3333 0.6667 0.6512
0.3333 0.6667 0.8488
0.6667 0.3333 0.1512
0.6667 0.3333 0.3488
```

Computed properties:
ΔE_f (raw): -8.904 eV per formula unit
density of states at the Fermi level: 4.43 states/eV/cell
energy above the most stable polymorph in this dataset: 0.000 eV/atom


[10]
Computed, not measured: a relaxed structure of RbAc3Te4 at the PBE level of DFT.

POSCAR file:
```
RbAc3Te4
1.0
4.8030 0.0000 0.0000
-2.4015 4.1595 0.0000
0.0000 0.0000 32.6001
Rb Ac Te
2 6 8
direct
0.3333 0.6667 0.2500
0.6667 0.3333 0.7500
0.0000 0.0000 0.0000
0.0000 0.0000 0.5000
0.3333 0.6667 0.6170
0.3333 0.6667 0.8830
0.6667 0.3333 0.1170
0.6667 0.3333 0.3830
0.0000 0.0000 0.1737
0.0000 0.0000 0.3263
0.0000 0.0000 0.6737
0.0000 0.0000 0.8263
0.3333 0.6667 0.0585
0.3333 0.6667 0.4415
0.6667 0.3333 0.5585
0.6667 0.3333 0.9415
```

Computed properties:
ΔE_f (raw): -11.865 eV per formula unit
density of states at the Fermi level: 8.20 states/eV/cell


[11]
Computed, not measured: a relaxed structure of RbAc4Te5 at the PBE level of DFT.

POSCAR file:
```
RbAc4Te5
1.0
-2.3811 3.3785 12.1449
2.3811 -3.3785 12.1449
2.3811 3.3785 -12.1449
Rb Ac Te
1 4 5
direct
0.0000 0.0000 0.0000
0.2054 0.2054 0.0000
0.3993 0.3993 0.0000
0.6007 0.6007 0.0000
0.7946 0.7946 0.0000
0.1084 0.6084 0.5000
0.3024 0.8024 0.5000
0.5000 0.0000 0.5000
0.6976 0.1976 0.5000
0.8916 0.3916 0.5000
```

Computed properties:
ΔE_f (raw): -14.627 eV per formula unit
density of states at the Fermi level: 3.26 states/eV/cell


[12]
Computed, not measured: a relaxed structure of RbAc5Te8 at the PBE level of DFT.

POSCAR file:
```
RbAc5Te8
1.0
-5.0514 5.0514 5.0226
5.0514 -5.0514 5.0226
5.0514 5.0514 -5.0226
Rb Ac Te
1 5 8
direct
0.0000 0.0000 0.0000
0.2412 0.6243 0.1231
0.3757 0.4988 0.6168
0.5012 0.1181 0.8769
0.7500 0.2500 0.5000
0.8819 0.7588 0.3832
0.1295 0.7134 0.7452
0.1307 0.2336 0.7457
0.2866 0.0318 0.4161
0.4879 0.3850 0.2543
0.6150 0.8693 0.1029
0.6157 0.8705 0.5839
0.7664 0.5121 0.8971
0.9682 0.3843 0.2548
```

Computed properties:
ΔE_f (raw): -22.111 eV per formula unit
density of states at the Fermi level: 0.00 states/eV/cell


Respective uncorrected energy values: -3.49, -4.09, -4.79, -3.28, -4.18, -4.47, -3.02, -4.31, -4.59, -4.72, -4.77, -4.91 eV per atom.